Record 1
This record from the Alexandria database describes an optimized crystal structure of Na3U3Te8Au. The functional is GGA-PBE.

a b c (Å): 8.5759 8.5759 8.8883
angles (deg): 116.37 116.37 63.68
Sites, in units of the cell vectors:
Na1 0.0000 0.0000 0.0000
Na2 0.0000 0.5000 0.0000
Na3 0.5000 0.0000 0.0000
U1 0.0000 0.5000 0.5000
U2 0.5000 0.0000 0.5000
U3 0.5000 0.5000 0.5000
Te1 0.2192 0.2192 0.7106
Te2 0.2522 0.2522 0.2616
Te3 0.2643 0.7140 0.7437
Te4 0.2860 0.7357 0.2563
Te5 0.7140 0.2643 0.7437
Te6 0.7357 0.2860 0.2563
Te7 0.7478 0.7478 0.7384
Te8 0.7808 0.7808 0.2894
Au1 0.0000 0.0000 0.5000

Raw formation energy in meV/atom: -626
Raw total energy in eV per atom: -5.042
SG: C2/m, No. 12

Record 2
This record from the Alexandria database describes an optimized crystal structure of Na2VTe4Au. The functional is GGA-PBE.

a b c (Å): 6.7535 6.7535 6.7535
angles (deg): 103.62 103.62 121.95
Sites, in units of the cell vectors:
Na1 0.0000 0.5000 0.5000
Na2 0.5000 0.0000 0.5000
V1 0.0000 0.0000 0.0000
Te1 0.0430 0.0430 0.6431
Te2 0.3999 0.3999 0.3569
Te3 0.6001 0.9570 0.0000
Te4 0.9570 0.6001 0.0000
Au1 0.5000 0.5000 0.0000

Raw formation energy in meV/atom: -388
Raw total energy in eV per atom: -3.839
SG: I-42m, No. 121

Record 3
This record from the Alexandria database describes an optimized crystal structure of Na3Zr2Te6Au. The functional is GGA-PBE.

a b c (Å): 7.3778 7.3778 7.8930
angles (deg): 99.55 99.55 118.73
Sites, in units of the cell vectors:
Na1 0.0000 0.0000 0.0000
Na2 0.3337 0.6663 0.0000
Na3 0.6663 0.3337 0.0000
Zr1 0.1640 0.8360 0.5000
Zr2 0.8360 0.1640 0.5000
Te1 0.0896 0.4264 0.2854
Te2 0.2255 0.2255 0.7299
Te3 0.4264 0.0896 0.2854
Te4 0.5736 0.9104 0.7146
Te5 0.7745 0.7745 0.2701
Te6 0.9104 0.5736 0.7146
Au1 0.5000 0.5000 0.5000

Raw formation energy in meV/atom: -725
Raw total energy in eV per atom: -4.323
SG: C2/m, No. 12

Record 4
This record from the Alexandria database describes an optimized crystal structure of Na4Zr3Te8Au. The functional is GGA-PBE.

a b c (Å): 8.4486 8.4486 9.0019
angles (deg): 118.01 118.01 59.95
Sites, in units of the cell vectors:
Na1 0.0000 0.0000 0.0000
Na2 0.0000 0.5000 0.0000
Na3 0.5000 0.0000 0.0000
Na4 0.5000 0.5000 0.0000
Zr1 0.0000 0.0000 0.5000
Zr2 0.0000 0.5000 0.5000
Zr3 0.5000 0.0000 0.5000
Te1 0.2365 0.7409 0.7184
Te2 0.2419 0.2419 0.7258
Te3 0.2585 0.2585 0.2812
Te4 0.2591 0.7635 0.2816
Te5 0.7409 0.2365 0.7184
Te6 0.7415 0.7415 0.7188
Te7 0.7581 0.7581 0.2742
Te8 0.7635 0.2591 0.2816
Au1 0.5000 0.5000 0.5000

Raw formation energy in meV/atom: -770
Raw total energy in eV per atom: -4.478
SG: C2/m, No. 12

Record 5
This record from the Alexandria database describes an optimized crystal structure of Na3Zr3Te8Au. The functional is GGA-PBE.

a b c (Å): 8.2386 8.2386 8.9009
angles (deg): 116.01 116.01 62.39
Sites, in units of the cell vectors:
Na1 0.0000 0.0000 0.0000
Na2 0.0000 0.5000 0.0000
Na3 0.5000 0.0000 0.0000
Zr1 0.0000 0.5000 0.5000
Zr2 0.5000 0.0000 0.5000
Zr3 0.5000 0.5000 0.5000
Te1 0.2258 0.2258 0.7089
Te2 0.2532 0.7199 0.7268
Te3 0.2571 0.2571 0.2740
Te4 0.2801 0.7468 0.2732
Te5 0.7199 0.2532 0.7268
Te6 0.7429 0.7429 0.7260
Te7 0.7468 0.2801 0.2732
Te8 0.7742 0.7742 0.2911
Au1 0.0000 0.0000 0.5000

Raw formation energy in meV/atom: -737
Raw total energy in eV per atom: -4.604
SG: C2/m, No. 12

Record 6
This record from the Alexandria database describes an optimized crystal structure of NaThAu4. The functional is GGA-PBE.

a b c (Å): 5.6611 5.6611 5.6611
angles (deg): 60.00 60.00 60.00
Sites, in units of the cell vectors:
Na1 0.0000 0.0000 0.0000
Th1 0.7500 0.7500 0.7500
Au1 0.3741 0.3741 0.3741
Au2 0.3741 0.3741 0.8778
Au3 0.3741 0.8778 0.3741
Au4 0.8778 0.3741 0.3741

Raw total energy in eV per atom: -4.016
SG: F-43m, No. 216

Record 7
This record from the Alexandria database describes an optimized crystal structure of NaThAu3. The functional is GGA-PBE.

a b c (Å): 14.0359 14.0359 4.8356
angles (deg): 90.00 90.00 165.88
Sites, in units of the cell vectors:
Na1 0.2134 0.7866 0.7500
Na2 0.7866 0.2134 0.2500
Th1 0.0752 0.9248 0.2500
Th2 0.9248 0.0752 0.7500
Au1 0.3259 0.6741 0.7500
Au2 0.3767 0.6233 0.2500
Au3 0.4764 0.5236 0.2500
Au4 0.5236 0.4764 0.7500
Au5 0.6233 0.3767 0.7500
Au6 0.6741 0.3259 0.2500

Raw total energy in eV per atom: -4.210
SG: Cmcm, No. 63

Record 8
This record from the Alexandria database describes an optimized crystal structure of NaThAu. The functional is GGA-PBE.

a b c (Å): 3.8155 3.8155 11.0279
angles (deg): 90.08 90.08 89.98
Sites, in units of the cell vectors:
Na1 0.2503 0.2503 0.0866
Na2 0.7497 0.7497 0.9134
Th1 0.2496 0.2496 0.3939
Th2 0.7504 0.7504 0.6061
Au1 0.2508 0.2508 0.7447
Au2 0.7492 0.7492 0.2553

Raw total energy in eV per atom: -4.332
SG: C2/m, No. 12

Record 9
This record from the Alexandria database describes an optimized crystal structure of NaThZnAu. The functional is GGA-PBE.

a b c (Å): 5.0783 5.0783 5.0783
angles (deg): 60.00 60.00 60.00
Sites, in units of the cell vectors:
Na1 0.0000 0.0000 0.0000
Th1 0.5000 0.5000 0.5000
Zn1 0.2500 0.2500 0.2500
Au1 0.7500 0.7500 0.7500

Raw total energy in eV per atom: -3.562
SG: F-43m, No. 216

Record 10
This record from the Alexandria database describes an optimized crystal structure of NaTi2Au2. The functional is GGA-PBE.

a b c (Å): 8.2827 8.2827 2.7674
angles (deg): 90.00 90.00 90.00
Sites, in units of the cell vectors:
Na1 0.0000 0.0000 0.0000
Na2 0.5000 0.5000 0.0000
Ti1 0.1172 0.3828 0.0000
Ti2 0.3828 0.8828 0.0000
Ti3 0.6172 0.1172 0.0000
Ti4 0.8828 0.6172 0.0000
Au1 0.1764 0.6764 0.5000
Au2 0.3236 0.1764 0.5000
Au3 0.6764 0.8236 0.5000
Au4 0.8236 0.3236 0.5000

Raw total energy in eV per atom: -4.914
SG: P4/mbm, No. 127
Relative energy among the computed polymorphs in eV/f.u.: 0.00

Record 11
This record from the Alexandria database describes an optimized crystal structure of NaTi2Au. The functional is GGA-PBE.

a b c (Å): 4.6900 4.6900 4.6900
angles (deg): 60.00 60.00 60.00
Sites, in units of the cell vectors:
Na1 0.0000 0.0000 0.0000
Ti1 0.2500 0.2500 0.2500
Ti2 0.7500 0.7500 0.7500
Au1 0.5000 0.5000 0.5000

Raw total energy in eV per atom: -4.821
SG: Fm-3m, No. 225
Relative energy among the computed polymorphs in eV/f.u.: 0.00

Record 12
This record from the Alexandria database describes an optimized crystal structure of NaTi2Au2. The functional is GGA-PBE.

a b c (Å): 8.1042 8.1042 2.8931
angles (deg): 90.00 90.00 90.00
Sites, in units of the cell vectors:
Na1 0.0000 0.0000 0.0000
Na2 0.5000 0.5000 0.0000
Ti1 0.1568 0.3432 0.5000
Ti2 0.3432 0.8432 0.5000
Ti3 0.6568 0.1568 0.5000
Ti4 0.8432 0.6568 0.5000
Au1 0.1375 0.6375 0.0000
Au2 0.3625 0.1375 0.0000
Au3 0.6375 0.8625 0.0000
Au4 0.8625 0.3625 0.0000

Raw total energy in eV per atom: -4.885
SG: P4/mbm, No. 127
Relative energy among the computed polymorphs in eV/f.u.: 0.14